[1]
A geometry-optimized Th2Ni3B3 structure. Source: the Open Quantum Materials Database, functional PBE.

Values from the calculation:
Density: 8.496 g/cm³
Symmetry: R-3m, No. 166
Raw total energy: -6.25 eV per atom

Unit cell a=8.4250 b=8.4250 c=8.4250 alpha=29.88 beta=29.88 gamma=29.88
Last column: nearest neighbours and their distance in Å.
Sites, in units of the cell vectors:
Th: 0.2250 0.2250 0.2250  6 B 2.88-3.07, 3 Ni 2.90
Th: 0.7750 0.7750 0.7750  6 B 2.88-3.07, 3 Ni 2.90
Ni: 0.0000 0.5000 0.5000  4 Ni 2.17, 4 B 2.33
Ni: 0.5000 0.0000 0.5000  4 Ni 2.17, 4 B 2.33
Ni: 0.5000 0.5000 0.0000  4 Ni 2.17, 4 B 2.33
B: 0.0348 0.0348 0.0348  1 B 1.68
B: 0.5000 0.5000 0.5000  6 Th 2.88
B: 0.9652 0.9652 0.9652  1 B 1.68

---

[2]
A geometry-optimized Sr2Dy2O5 structure. Source: the Open Quantum Materials Database, functional PBE.

Values from the calculation:
Density: 6.385 g/cm³
Symmetry: P4/mmm, No. 123
Offset from the most stable computed form: 0 meV per atom

Unit cell a=4.3144 b=4.3144 c=8.1071 alpha=90.00 beta=90.00 gamma=90.00
Last column: nearest neighbours and their distance in Å.
Sites, in units of the cell vectors:
Sr: 0.0000 0.0000 0.0000  8 O 2.67
Sr: 0.0000 0.0000 0.5000  12 O 3.05-3.28
Dy: 0.5000 0.5000 0.2407  5 O 2.10-2.19
Dy: 0.5000 0.5000 0.7593  5 O 2.10-2.19
O: 0.0000 0.5000 0.1944  2 Dy 2.19
O: 0.0000 0.5000 0.8056  2 Dy 2.19
O: 0.5000 0.0000 0.1944  2 Dy 2.19
O: 0.5000 0.0000 0.8056  2 Dy 2.19
O: 0.5000 0.5000 0.5000  2 Dy 2.10

---

[3]
A geometry-optimized TbTaTl structure. Source: the Open Quantum Materials Database, functional PBE.

Values from the calculation:
Density: 11.169 g/cm³
Symmetry: F-43m, No. 216
Raw total energy: -5.50 eV per atom

Unit cell a=6.8660 b=6.8660 c=6.8660 alpha=90.00 beta=90.00 gamma=90.00
Last column: nearest neighbours and their distance in Å.
Sites, in units of the cell vectors:
Tb: 0.0000 0.0000 0.0000  4 Tl 2.97
Tb: 0.0000 0.5000 0.5000  4 Tl 2.97
Tb: 0.5000 0.0000 0.5000  4 Tl 2.97
Tb: 0.5000 0.5000 0.0000  4 Tl 2.97
Ta: 0.0000 0.0000 0.5000  4 Tl 2.97
Ta: 0.0000 0.5000 0.0000  4 Tl 2.97
Ta: 0.5000 0.0000 0.0000  4 Tl 2.97
Ta: 0.5000 0.5000 0.5000  4 Tl 2.97
Tl: 0.2500 0.2500 0.7500  4 Tb 2.97, 4 Ta 2.97
Tl: 0.2500 0.7500 0.2500  4 Tb 2.97, 4 Ta 2.97
Tl: 0.7500 0.2500 0.2500  4 Tb 2.97, 4 Ta 2.97
Tl: 0.7500 0.7500 0.7500  4 Ta 2.97, 4 Tb 2.97

---

[4]
A geometry-optimized BaCdInHg2 structure. Source: the Open Quantum Materials Database, functional PBE.

Values from the calculation:
Density: 8.615 g/cm³
Symmetry: I-4m2, No. 119
Raw total energy: -1.60 eV per atom

Unit cell a=4.7861 b=4.7861 c=12.8864 alpha=90.00 beta=90.00 gamma=90.00
Last column: nearest neighbours and their distance in Å.
Sites, in units of the cell vectors:
Ba: 0.0000 0.0000 0.0000  8 Hg 3.69, 4 In 4.01, 4 Cd 4.01
Ba: 0.5000 0.5000 0.5000  8 Hg 3.69, 4 In 4.01, 4 Cd 4.01
Cd: 0.0000 0.5000 0.2500  4 Hg 2.97
Cd: 0.5000 0.0000 0.7500  4 Hg 2.97
In: 0.0000 0.5000 0.7500  4 Hg 2.97
In: 0.5000 0.0000 0.2500  4 Hg 2.97
Hg: 0.0000 0.0000 0.3866  1 Hg 2.92, 2 Cd 2.97, 2 In 2.97
Hg: 0.0000 0.0000 0.6134  1 Hg 2.92, 2 Cd 2.97, 2 In 2.97
Hg: 0.5000 0.5000 0.1134  1 Hg 2.92, 2 In 2.97, 2 Cd 2.97
Hg: 0.5000 0.5000 0.8866  1 Hg 2.92, 2 Cd 2.97, 2 In 2.97

---

[5]
A geometry-optimized CuSbW4N2 structure. Source: the Open Quantum Materials Database, functional PBE.

Values from the calculation:
Density: 14.619 g/cm³
Symmetry: P-6m2, No. 187
Raw total energy: -9.09 eV per atom

Unit cell a=2.9561 b=2.9561 c=14.2387 alpha=90.00 beta=90.00 gamma=120.00
Last column: nearest neighbours and their distance in Å.
Sites, in units of the cell vectors:
Cu: 0.0000 0.0000 0.0000  6 W 2.72, 6 Cu 2.96
Sb: 0.3333 0.6667 0.5000  6 W 2.85, 6 Sb 2.96
W: 0.0000 0.0000 0.3397  3 N 2.19
W: 0.0000 0.0000 0.6603  3 N 2.19
W: 0.3333 0.6667 0.1486  3 N 2.18
W: 0.3333 0.6667 0.8514  3 N 2.18
N: 0.6667 0.3333 0.2438  6 W 2.18-2.19
N: 0.6667 0.3333 0.7562  6 W 2.18-2.19

---

Which of these has the highest density?
CuSbW4N2

---

Look up the density of the fifth one.
14.619 g/cm³

---

The highest density belongs to which entry?
CuSbW4N2

---

The highest density belongs to which entry?
CuSbW4N2